NaSnS2Cl: relaxed, PBE.

Cell: 5.0097 5.0097 5.4117 Å, 90.00 90.00 90.00°
Space group P4/mmm (No. 123)
Asymmetric unit:
Na 0.0000 0.0000 0.0000 [1 per cell]
Sn 0.5000 0.5000 0.5000 [1 per cell]
S 0.0000 0.5000 0.5000 [2 per cell]
Cl 0.5000 0.5000 0.0000 [1 per cell]

Results
- M_tot: 0.00 μB per formula unit
- Polymorph energy (0 for the lowest one): 0.0 meV/atom

---

NaSrSCl: relaxed, PBE.

Cell: 4.2745 4.2745 20.4516 Å, 90.00 90.00 120.00°
Space group R3m (No. 160, hexagonal axes)
Asymmetric unit:
Na 0.0000 0.0000 0.0000 [3 per cell]
Sr 0.0000 0.0000 0.5204 [3 per cell]
S 0.0000 0.0000 0.2613 [3 per cell]
Cl 0.0000 0.0000 0.7642 [3 per cell]

Results
- M_tot: 0.00 μB per formula unit

---

no.,raw formation energy (meV/atom)
1,-517
2,-1889